# Li6YMg6 (PBE-GGA, optimized geometry)
# Final energy ... -2.141 eV/atom
# Space group ... Immm
# Energy relative to the elements ... -0.56 kcal/mol of atoms
# Total magnetic moment ... 0.00 μB per formula unit
data_Li6YMg6
_chemical_formula_sum 'Li6 Y1 Mg6'
_cell_length_a 7.665
_cell_length_b 7.665
_cell_length_c 7.665
_cell_angle_alpha 138.38
_cell_angle_beta 98.41
_cell_angle_gamma 96.09
_space_group_name_H-M_alt 'P 1'
_space_group_IT_number 1
loop_
_space_group_symop_operation_xyz
'x,y,z'
loop_
_atom_site_label
_atom_site_type_symbol
_atom_site_fract_x
_atom_site_fract_y
_atom_site_fract_z
_atom_site_occupancy
Li1 Li 0.000 0.000 0.500 1
Li2 Li 0.000 0.500 0.000 1
Li3 Li 0.220 0.220 0.000 1
Li4 Li 0.500 0.000 0.000 1
Li5 Li 0.500 0.500 0.500 1
Li6 Li 0.780 0.780 0.000 1
Y1 Y 0.000 0.500 0.500 1
Mg1 Mg 0.197 0.000 0.197 1
Mg2 Mg 0.348 0.500 0.848 1
Mg3 Mg 0.350 0.850 0.500 1
Mg4 Mg 0.650 0.150 0.500 1
Mg5 Mg 0.652 0.500 0.152 1
Mg6 Mg 0.803 0.000 0.803 1